A relaxed Pr5Tm crystal, computed with PBE-GGA.

Properties
* raw total energy: -4.71 eV/atom
* formation energy from the elements: 0.0160 eV per atom
* N(E_F): 9.266 states/eV/f.u.
* total moment: 0.0000 μB/atom
* energy relative to the lowest polymorph listed for this composition: 2 meV/atom

The structure in CIF format:
```
data_Pr5Tm
_cell_length_a 5.2016
_cell_length_b 15.6392
_cell_length_c 5.1922
_cell_angle_alpha 90.00
_cell_angle_beta 90.00
_cell_angle_gamma 90.00
_space_group_name_H-M_alt 'P 1'
_space_group_IT_number 1
loop_
_space_group_symop_operation_xyz
'x,y,z'
loop_
_atom_site_label
_atom_site_fract_x
_atom_site_fract_y
_atom_site_fract_z
_atom_site_occupancy
Pr1 0.0000 0.0000 0.0000 1
Pr2 0.0000 0.1648 0.5000 1
Pr3 0.0000 0.3345 0.0000 1
Pr4 0.0000 0.6655 0.0000 1
Pr5 0.0000 0.8352 0.5000 1
Pr6 0.5000 0.1655 0.0000 1
Pr7 0.5000 0.3352 0.5000 1
Pr8 0.5000 0.5000 0.0000 1
Pr9 0.5000 0.6648 0.5000 1
Pr10 0.5000 0.8345 0.0000 1
Tm1 0.0000 0.5000 0.5000 1
Tm2 0.5000 0.0000 0.5000 1
```


A relaxed InAg4As crystal, computed with PBE-GGA.

Properties
* raw total energy: -2.98 eV/atom
* formation energy from the elements: 0.1515 eV per atom
* N(E_F): 1.989 states/eV/f.u.
* total moment: 0.0000 μB/atom

The structure in CIF format:
```
data_InAg4As
_cell_length_a 5.5564
_cell_length_b 5.5564
_cell_length_c 5.5564
_cell_angle_alpha 60.00
_cell_angle_beta 60.00
_cell_angle_gamma 60.00
_space_group_name_H-M_alt 'P 1'
_space_group_IT_number 1
loop_
_space_group_symop_operation_xyz
'x,y,z'
loop_
_atom_site_label
_atom_site_fract_x
_atom_site_fract_y
_atom_site_fract_z
_atom_site_occupancy
In1 0.0000 0.0000 0.0000 1
Ag1 0.1249 0.6250 0.6250 1
Ag2 0.6250 0.1249 0.6250 1
Ag3 0.6250 0.6250 0.1249 1
Ag4 0.6250 0.6250 0.6250 1
As1 0.2500 0.2500 0.2500 1
```